Entry 1:
{"formula": "LaU2", "functional": "PBE-GGA", "state": "relaxed", "dft_energy_ev_per_atom": -6.027, "lattice": [[-5.6183, -6.0375, 2.4567], [2.8247, -7.6921, 2.6277], [-0.5990, -2.1988, 8.2981]], "species": ["U", "La", "U", "U", "U", "La"], "fractional_positions": [[0.3750, 0.3750, 0.8750], [0.2500, 0.2500, 0.2500], [0.8750, 0.3750, 0.3750], [0.3750, 0.3750, 0.3750], [0.3750, 0.8750, 0.3750], [0.5000, 0.5000, 0.5000]]}


Entry 2:
{"formula": "LaUW", "functional": "PBE-GGA", "state": "relaxed", "dft_energy_ev_per_atom": -8.741, "lattice": [[0.0000, 3.4348, 3.4348], [3.4348, 0.0000, 3.4348], [3.4348, 3.4348, 0.0000]], "species": ["W", "La", "U"], "fractional_positions": [[0.2500, 0.2500, 0.2500], [0.0000, 0.0000, 0.0000], [0.5000, 0.5000, 0.5000]]}


Entry 3:
{"formula": "LaYU", "functional": "PBE-GGA", "state": "relaxed", "dft_energy_ev_per_atom": -6.364, "lattice": [[0.0000, 3.6408, 3.6408], [3.6408, 0.0000, 3.6408], [3.6408, 3.6408, 0.0000]], "species": ["Y", "U", "La"], "fractional_positions": [[0.7500, 0.7500, 0.7500], [0.2500, 0.2500, 0.2500], [0.0000, 0.0000, 0.0000]]}


Entry 4:
{"formula": "LaUZn", "functional": "PBE-GGA", "state": "relaxed", "dft_energy_ev_per_atom": -5.191, "lattice": [[0.0000, 3.5096, 3.5096], [3.5096, 0.0000, 3.5096], [3.5096, 3.5096, 0.0000]], "species": ["U", "Zn", "La"], "fractional_positions": [[0.7500, 0.7500, 0.7500], [0.0000, 0.0000, 0.0000], [0.2500, 0.2500, 0.2500]]}


Entry 5:
{"formula": "LaZr2U2", "functional": "PBE-GGA", "state": "relaxed", "dft_energy_ev_per_atom": -8.406, "lattice": [[-4.7144, -0.6270, -9.6211], [-4.7217, 1.5971, 1.3561], [-4.9708, 4.4917, -8.9756]], "species": ["La", "Zr", "U", "U", "U", "Zr", "Zr", "Zr", "La", "U"], "fractional_positions": [[0.7268, 0.7268, 0.2732], [0.4675, 0.0121, 0.6617], [0.7434, 0.1309, 0.9586], [0.1309, 0.7434, 0.1671], [0.0829, 0.2914, 0.1191], [0.5883, 0.3913, 0.7825], [0.3913, 0.5883, 0.2379], [0.0121, 0.4675, 0.8587], [0.9768, 0.9768, 0.5232], [0.2914, 0.0829, 0.5066]]}


Entry 6:
{"formula": "LaZrU", "functional": "PBE-GGA", "state": "relaxed", "dft_energy_ev_per_atom": -7.080, "lattice": [[1.6640, 0.7996, 4.7271], [1.5796, 4.6190, 1.3867], [-2.7693, 2.7648, 3.2312]], "species": ["U", "Zr", "La"], "fractional_positions": [[0.0000, 0.0000, 0.0000], [0.7500, 0.7500, 0.7500], [0.2500, 0.2500, 0.2500]]}


Entry 7:
{"formula": "LaW2", "functional": "PBE-GGA", "state": "relaxed", "dft_energy_ev_per_atom": -9.883, "lattice": [[-2.9788, -3.7281, 3.0165], [-1.5680, 1.2487, 5.2776], [-5.4305, 1.0091, 1.1673]], "species": ["W", "W", "La", "La", "W", "W"], "fractional_positions": [[0.6250, 0.6250, 0.1250], [0.1250, 0.6250, 0.6250], [0.0000, 0.0000, 0.0000], [0.2500, 0.2500, 0.2500], [0.6250, 0.6250, 0.6250], [0.6250, 0.1250, 0.6250]]}


Entry 8:
{"formula": "LaY2", "functional": "PBE-GGA", "state": "relaxed", "dft_energy_ev_per_atom": -5.670, "lattice": [[0.0000, 4.7904, 4.7904], [4.7904, 0.0000, 4.7904], [4.7904, 4.7904, 0.0000]], "species": ["Y", "Y", "Y", "La", "La", "Y"], "fractional_positions": [[0.1250, 0.6250, 0.6250], [0.6250, 0.1250, 0.6250], [0.6250, 0.6250, 0.1250], [0.0000, 0.0000, 0.0000], [0.2500, 0.2500, 0.2500], [0.6250, 0.6250, 0.6250]]}


Entry 9:
{"formula": "LaY2Zn", "functional": "PBE-GGA", "state": "relaxed", "dft_energy_ev_per_atom": -4.732, "lattice": [[-3.8311, 1.3862, 3.6152], [-5.1641, 0.6335, -1.6121], [-3.7816, -3.6273, 1.4867]], "species": ["Y", "Y", "La", "Zn"], "fractional_positions": [[0.7500, 0.7500, 0.7500], [0.0000, 0.0000, 0.0000], [0.2500, 0.2500, 0.2500], [0.5000, 0.5000, 0.5000]]}


Entry 10:
{"formula": "LaZn2", "functional": "PBE-GGA", "state": "relaxed", "dft_energy_ev_per_atom": -2.712, "lattice": [[-3.4286, -0.1077, 3.7479], [-6.2692, -6.9118, -5.9339], [2.1326, -3.5224, 1.8497]], "species": ["Zn", "Zn", "La", "Zn", "La", "Zn", "Zn", "La", "Zn", "Zn", "La", "Zn"], "fractional_positions": [[0.0163, 0.3003, 0.0000], [0.0163, 0.6997, 0.0000], [0.8749, 0.5000, 0.5000], [0.3170, 0.3003, 0.5000], [0.4584, 0.5000, 0.0000], [0.5163, 0.1997, 0.0000], [0.5163, 0.8003, 0.0000], [0.3749, 0.0000, 0.5000], [0.3170, 0.6997, 0.5000], [0.8170, 0.1997, 0.5000], [0.9584, 0.0000, 0.0000], [0.8170, 0.8003, 0.5000]]}


Entry 11:
{"formula": "LaZn2", "functional": "PBE-GGA", "state": "relaxed", "dft_energy_ev_per_atom": -2.600, "lattice": [[-1.4915, 1.9233, -4.4992], [-8.0084, -7.2232, -0.4328], [-2.8691, 3.0460, 2.2533]], "species": ["Zn", "Zn", "La", "Zn", "Zn", "Zn", "Zn", "La", "La", "Zn", "Zn", "La"], "fractional_positions": [[0.8473, 0.8333, 0.5000], [0.9860, 0.3333, 0.0000], [0.0378, 0.6577, 0.0000], [0.4539, 0.4549, 0.0000], [0.3795, 0.7118, 0.5000], [0.5407, 0.8333, 0.0000], [0.2926, 0.3333, 0.5000], [0.7955, 0.5090, 0.5000], [0.0378, 0.0090, 0.0000], [0.4539, 0.2118, 0.0000], [0.3795, 0.9549, 0.5000], [0.7955, 0.1577, 0.5000]]}


Entry 12:
{"formula": "La3Zn22", "functional": "PBE-GGA", "state": "relaxed", "dft_energy_ev_per_atom": -1.989, "lattice": [[8.6269, -6.0923, 6.4867], [9.0529, 6.4912, 5.4338], [-12.3665, 0.3560, -0.7484]], "species": ["La", "Zn", "Zn", "Zn", "Zn", "Zn", "Zn", "Zn", "Zn", "Zn", "Zn", "La", "Zn", "Zn", "Zn", "Zn", "Zn", "Zn", "Zn", "Zn", "Zn", "La", "Zn", "Zn", "Zn", "Zn", "La", "La", "Zn", "Zn", "Zn", "Zn", "Zn", "Zn", "Zn", "La", "Zn", "Zn", "Zn", "Zn", "Zn", "Zn", "Zn", "Zn", "Zn", "Zn", "Zn", "Zn", "Zn", "Zn"], "fractional_positions": [[0.6286, 0.1286, 0.5000], [0.1116, 0.4606, 0.3490], [0.5394, 0.8884, 0.6510], [0.2586, 0.1119, 0.8533], [0.1553, 0.5086, 0.6467], [0.9731, 0.2481, 0.7250], [0.1788, 0.2045, 0.5109], [0.6384, 0.4875, 0.8490], [0.1116, 0.7625, 0.6510], [0.8619, 0.5086, 0.3533], [0.5712, 0.5822, 0.5257], [0.5000, 0.5000, 0.0000], [0.2586, 0.4053, 0.1467], [0.9545, 0.9435, 0.5257], [0.8881, 0.7414, 0.1467], [0.9981, 0.2231, 0.2250], [0.9545, 0.4288, 0.0109], [0.6935, 0.6678, 0.4891], [0.3322, 0.3065, 0.5109], [0.4178, 0.9435, 0.9891], [0.5232, 0.2481, 0.2750], [0.8714, 0.3714, 0.5000], [0.7955, 0.3065, 0.9743], [0.7769, 0.0019, 0.7750], [0.0565, 0.5822, 0.0109], [0.8750, 0.6250, 0.2500], [0.1214, 0.1214, 0.0000], [0.8786, 0.8786, 0.0000], [0.7519, 0.0269, 0.2750], [0.3750, 0.6250, 0.7500], [0.2268, 0.0019, 0.2250], [0.5125, 0.3616, 0.1510], [0.3750, 0.6250, 0.2500], [0.9981, 0.7732, 0.7750], [0.4178, 0.4288, 0.4743], [0.2500, 0.7500, 0.5000], [0.7519, 0.4768, 0.7250], [0.1788, 0.6678, 0.9743], [0.3322, 0.8212, 0.0257], [0.4914, 0.8447, 0.3533], [0.5947, 0.7414, 0.8533], [0.2375, 0.8884, 0.3490], [0.3750, 0.1250, 0.7500], [0.7955, 0.8212, 0.4891], [0.0565, 0.0455, 0.4743], [0.6935, 0.2045, 0.0257], [0.4914, 0.1381, 0.6467], [0.6384, 0.7894, 0.1510], [0.5712, 0.0455, 0.9891], [0.2106, 0.3616, 0.8490]]}